[1]
Density functional theory data (PBE) for crystalline Ta2TcTe at its relaxed geometry.

a = 3.1927 Å, b = 3.1927 Å, c = 7.2743 Å
α = 90.00°, β = 90.00°, γ = 90.02°
With the nearest neighbours (Å) after each atom.
Atoms (fractional coordinates):
Ta: 0.0000 0.0000 0.4671  4 Tc 2.75-2.76, 4 Te 3.05-3.06
Ta: 0.0000 0.0000 0.0329  4 Tc 2.75-2.76, 4 Te 3.05-3.06
Tc: 0.5000 0.5000 0.2500  8 Ta 2.75-2.76
Te: 0.5000 0.5000 0.7500  8 Ta 3.05-3.06, 4 Te 3.19

## Properties
V, Å³/f.u.: 74
M_tot, Bohr magnetons per cell: 0.0
Space-group type: P4/mmm, No. 123
Fermi-level density of states, states/eV/atom: 0.92
Energy relative to the elements, uncorrected, eV per atom: 0.09

[2]
Density functional theory data (PBE) for crystalline TaTcTe2 at its relaxed geometry.

a = 8.7775 Å, b = 8.7775 Å, c = 8.7775 Å
α = 21.39°, β = 21.39°, γ = 21.39°
With the nearest neighbours (Å) after each atom.
Atoms (fractional coordinates):
Te: 0.0042 0.0042 0.0042  3 Tc 2.77, 3 Ta 2.93
Te: 0.4958 0.4958 0.4958  3 Tc 2.77, 3 Ta 2.93
Ta: 0.2500 0.2500 0.2500  6 Te 2.93, 6 Ta 3.26
Tc: 0.7500 0.7500 0.7500  6 Te 2.77

## Properties
V, Å³/f.u.: 79
Relative energy among the computed polymorphs, meV/atom: 514
M_tot, Bohr magnetons per cell: 0.0
Space-group type: R-3m, No. 166
Fermi-level density of states, states/eV/atom: 1.01
Energy relative to the elements, uncorrected, eV per atom: 0.37

[3]
Density functional theory data (PBE) for crystalline TaTcTe at its relaxed geometry.

a = 4.8487 Å, b = 4.8487 Å, c = 4.8487 Å
α = 141.94°, β = 127.50°, γ = 66.66°
With the nearest neighbours (Å) after each atom.
Atoms (fractional coordinates):
Te: 0.6660 0.6660 0.0000  5 Tc 2.68-3.00, 5 Ta 2.70-2.99
Ta: 0.9991 0.9991 0.0000  5 Te 2.70-2.99, 5 Tc 2.72-2.98
Tc: 0.3349 0.3349 0.0000  5 Te 2.68-3.00, 5 Ta 2.72-2.98

## Properties
V, Å³/f.u.: 55
Relative energy among the computed polymorphs, meV/atom: 368
M_tot, Bohr magnetons per cell: 0.0
Space-group type: Imm2, No. 44
Fermi-level density of states, states/eV/atom: 0.47
Energy relative to the elements, uncorrected, eV per atom: 0.30

[4]
Density functional theory data (PBE) for crystalline TaTcTe2 at its relaxed geometry.

a = 3.3488 Å, b = 5.4768 Å, c = 4.4704 Å
α = 90.00°, β = 90.00°, γ = 90.00°
With the nearest neighbours (Å) after each atom.
Atoms (fractional coordinates):
Ta: 0.5000 0.0000 0.5000  4 Te 2.79
Te: 0.0000 0.0000 0.0000  4 Ta 2.79
Te: 0.5000 0.5000 0.0000  4 Tc 2.79
Tc: 0.0000 0.5000 0.5000  4 Te 2.79

## Properties
V, Å³/f.u.: 82
Relative energy among the computed polymorphs, meV/atom: 886
M_tot, Bohr magnetons per cell: 0.6
Space-group type: Pmmm, No. 47
Fermi-level density of states, states/eV/atom: 1.25
Energy relative to the elements, uncorrected, eV per atom: 0.74

[5]
Density functional theory data (PBE) for crystalline Ta2TcTe at its relaxed geometry.

a = 4.0053 Å, b = 4.0053 Å, c = 10.1490 Å
α = 78.62°, β = 78.62°, γ = 90.00°
With the nearest neighbours (Å) after each atom.
Atoms (fractional coordinates):
Te: 0.0000 0.0000 0.0000  4 Ta 2.82, 4 Tc 2.83
Te: 0.7500 0.2500 0.5000  4 Ta 2.82, 4 Tc 2.83
Ta: 0.6268 0.1250 0.2500  2 Te 2.82, 2 Tc 2.82, 4 Ta 2.82-2.84
Ta: 0.3750 0.3732 0.7500  2 Te 2.82, 2 Tc 2.82, 4 Ta 2.82-2.84
Ta: 0.1232 0.6250 0.2500  2 Te 2.82, 2 Tc 2.82, 4 Ta 2.82-2.84
Ta: 0.8750 0.8768 0.7500  2 Te 2.82, 2 Tc 2.82, 4 Ta 2.82-2.84
Tc: 0.5000 0.5000 0.0000  4 Ta 2.82, 4 Te 2.83
Tc: 0.2500 0.7500 0.5000  4 Ta 2.82, 4 Te 2.83

## Properties
V, Å³/f.u.: 78
M_tot, Bohr magnetons per cell: 0.0
Space-group type: I-42d, No. 122
Fermi-level density of states, states/eV/atom: 1.02
Energy relative to the elements, uncorrected, eV per atom: 0.63

[6]
Density functional theory data (PBE) for crystalline Ta2TcTe at its relaxed geometry.

a = 4.7554 Å, b = 4.7554 Å, c = 3.3060 Å
α = 87.20°, β = 87.20°, γ = 103.53°
With the nearest neighbours (Å) after each atom.
Atoms (fractional coordinates):
Ta: 0.0000 0.0000 0.0000  4 Te 2.83-2.96, 4 Tc 2.83-2.96, 2 Ta 2.94
Ta: 0.5000 0.5000 0.0000  4 Tc 2.83-2.96, 4 Te 2.83-2.96, 2 Ta 2.94
Tc: 0.5000 0.0000 0.5000  8 Ta 2.83-2.96, 2 Te 2.94
Te: 0.0000 0.5000 0.5000  8 Ta 2.83-2.96, 2 Tc 2.94

## Properties
V, Å³/f.u.: 72
M_tot, Bohr magnetons per cell: 0.0
Space-group type: C2/m, No. 12
Fermi-level density of states, states/eV/atom: 0.74
Energy relative to the elements, uncorrected, eV per atom: 0.20

[7]
Density functional theory data (PBE) for crystalline TaTcTe2 at its relaxed geometry.

a = 9.6263 Å, b = 9.6263 Å, c = 9.6263 Å
α = 19.34°, β = 19.34°, γ = 19.34°
With the nearest neighbours (Å) after each atom.
Atoms (fractional coordinates):
Ta: 0.0000 0.0000 0.0000  2 Te 2.76
Tc: 0.5000 0.5000 0.5000  6 Te 2.71
Te: 0.0976 0.0976 0.0976  3 Tc 2.71, 1 Ta 2.76
Te: 0.9024 0.9024 0.9024  3 Tc 2.71, 1 Ta 2.76

## Properties
V, Å³/f.u.: 86
Relative energy among the computed polymorphs, meV/atom: 635
M_tot, Bohr magnetons per cell: 0.0
Space-group type: R-3m, No. 166
Fermi-level density of states, states/eV/atom: 0.88
Energy relative to the elements, uncorrected, eV per atom: 0.49

[8]
Density functional theory data (PBE) for crystalline Ta2TcTe at its relaxed geometry.

a = 4.6561 Å, b = 4.6561 Å, c = 4.6561 Å
α = 60.00°, β = 60.00°, γ = 60.00°
With the nearest neighbours (Å) after each atom.
Atoms (fractional coordinates):
Tc: 0.5000 0.5000 0.5000  4 Te 2.85, 4 Ta 2.85
Ta: 0.0000 0.0000 0.0000  4 Ta 2.85, 4 Te 2.85
Ta: 0.2500 0.2500 0.2500  4 Ta 2.85, 4 Tc 2.85
Te: 0.7500 0.7500 0.7500  4 Tc 2.85, 4 Ta 2.85

## Properties
V, Å³/f.u.: 71
M_tot, Bohr magnetons per cell: 0.0
Space-group type: F-43m, No. 216
Fermi-level density of states, states/eV/atom: 0.63
Energy relative to the elements, uncorrected, eV per atom: 0.31

[9]
Density functional theory data (PBE) for crystalline TaTcTe2 at its relaxed geometry.

a = 3.1867 Å, b = 3.1867 Å, c = 8.9847 Å
α = 90.00°, β = 90.00°, γ = 90.00°
With the nearest neighbours (Å) after each atom.
Atoms (fractional coordinates):
Te: 0.0000 0.0000 0.9089  4 Tc 2.74
Te: 0.5000 0.5000 0.3202  4 Ta 2.97, 4 Te 3.19
Tc: 0.5000 0.5000 0.7345  4 Te 2.74, 4 Ta 2.87
Ta: 0.0000 0.0000 0.5364  4 Tc 2.87, 4 Te 2.97, 4 Ta 3.19

## Properties
V, Å³/f.u.: 91
Relative energy among the computed polymorphs, meV/atom: 134
M_tot, Bohr magnetons per cell: 0.0
Space-group type: P4mm, No. 99
Fermi-level density of states, states/eV/atom: 0.54
Energy relative to the elements, uncorrected, eV per atom: -0.01

[10]
Density functional theory data (PBE) for crystalline TaTcTe at its relaxed geometry.

a = 4.5689 Å, b = 3.2287 Å, c = 10.4884 Å
α = 90.00°, β = 90.00°, γ = 135.04°
With the nearest neighbours (Å) after each atom.
Atoms (fractional coordinates):
Tc: 0.6944 0.3888 0.0000  8 Ta 2.78
Tc: 0.1944 0.3889 0.5000  8 Te 2.85
Te: 0.6944 0.3889 0.6627  4 Tc 2.85, 4 Ta 3.01
Te: 0.6944 0.3889 0.3373  4 Tc 2.85, 4 Ta 3.01
Ta: 0.1944 0.3888 0.8493  4 Tc 2.78, 4 Te 3.01
Ta: 0.1944 0.3888 0.1507  4 Tc 2.78, 4 Te 3.01

## Properties
V, Å³/f.u.: 55
Relative energy among the computed polymorphs, meV/atom: 240
M_tot, Bohr magnetons per cell: 0.0
Space-group type: P4/mmm, No. 123
Fermi-level density of states, states/eV/atom: 0.90
Energy relative to the elements, uncorrected, eV per atom: 0.17

[11]
Density functional theory data (PBE) for crystalline Ta2TcTe at its relaxed geometry.

a = 3.3742 Å, b = 4.6790 Å, c = 4.5207 Å
α = 90.00°, β = 90.00°, γ = 90.00°
With the nearest neighbours (Å) after each atom.
Atoms (fractional coordinates):
Ta: 0.0000 0.0000 0.0000  4 Tc 2.82, 4 Ta 2.88
Ta: 0.5000 0.5000 0.0000  4 Te 2.82, 4 Ta 2.88
Te: 0.0000 0.5000 0.5000  4 Ta 2.82, 4 Tc 2.88
Tc: 0.5000 0.0000 0.5000  4 Ta 2.82, 4 Te 2.88

## Properties
V, Å³/f.u.: 71
M_tot, Bohr magnetons per cell: 0.0
Space-group type: Pmmm, No. 47
Fermi-level density of states, states/eV/atom: 0.76
Energy relative to the elements, uncorrected, eV per atom: 0.14

[12]
Density functional theory data (PBE) for crystalline TaTcTe2 at its relaxed geometry.

a = 3.2317 Å, b = 3.2317 Å, c = 8.7509 Å
α = 90.00°, β = 90.00°, γ = 116.17°
With the nearest neighbours (Å) after each atom.
Atoms (fractional coordinates):
Tc: 0.5000 0.5000 0.7500  4 Te 2.71
Ta: 0.5000 0.5000 0.2500  4 Te 2.85
Te: 0.0000 0.0000 0.9897  2 Tc 2.71, 2 Ta 2.85
Te: 0.0000 0.0000 0.5103  2 Tc 2.71, 2 Ta 2.85

## Properties
V, Å³/f.u.: 82
Relative energy among the computed polymorphs, meV/atom: 887
M_tot, Bohr magnetons per cell: 0.0
Space-group type: Cmmm, No. 65
Fermi-level density of states, states/eV/atom: 0.99
Energy relative to the elements, uncorrected, eV per atom: 0.74